[1]
TcHg2Pt | PBE | optimized geometry

```
data_TcHg2Pt
_symmetry_space_group_name_H-M 'P 1'
_symmetry_Int_Tables_number 1
_cell_length_a 2.8935
_cell_length_b 2.8935
_cell_length_c 9.6686
_cell_angle_alpha 90.00
_cell_angle_beta 90.00
_cell_angle_gamma 116.74
loop_
_symmetry_equiv_pos_as_xyz
'x,y,z'
loop_
_atom_site_label
_atom_site_type_symbol
_atom_site_fract_x
_atom_site_fract_y
_atom_site_fract_z
Hg1 Hg 0.0000 0.0000 0.9998
Hg2 Hg 0.0000 0.0000 0.5002
Pt1 Pt 0.5000 0.5000 0.2500
Tc1 Tc 0.5000 0.5000 0.7500
```

raw total energy: -3.78 eV/atom
volume: 18.1 A^3/atom
energy relative to the lowest polymorph listed for this composition: 271 meV/atom
crystal system: orthorhombic
ΔH_f (0 K): 475 meV per atom

=====

[2]
In2IBr2 | PBE | optimized geometry

```
data_In2IBr2
_symmetry_space_group_name_H-M 'P 1'
_symmetry_Int_Tables_number 1
_cell_length_a 8.9547
_cell_length_b 8.9547
_cell_length_c 4.3840
_cell_angle_alpha 90.00
_cell_angle_beta 90.00
_cell_angle_gamma 90.00
loop_
_symmetry_equiv_pos_as_xyz
'x,y,z'
loop_
_atom_site_label
_atom_site_type_symbol
_atom_site_fract_x
_atom_site_fract_y
_atom_site_fract_z
In1 In 0.2946 0.7946 0.0000
In2 In 0.2054 0.2946 0.0000
In3 In 0.7946 0.7054 0.0000
In4 In 0.7054 0.2054 0.0000
Br1 Br 0.6400 0.8600 0.5000
Br2 Br 0.8600 0.3600 0.5000
Br3 Br 0.3600 0.1400 0.5000
Br4 Br 0.1400 0.6400 0.5000
I1 I 0.5000 0.5000 0.0000
I2 I 0.0000 0.0000 0.0000
```

raw total energy: -2.56 eV/atom
volume: 35.2 A^3/atom
energy relative to the lowest polymorph listed for this composition: 47 meV/atom
crystal system: tetragonal
raw formation energy: -234 kJ/mol of formula units

=====

Which value of raw total energy does entry 1 give?
-3.78 eV/atom